This record from Alexandria describes a geometry-optimized TbHoTh6 structure. The functional is PBE.

Unit cell a=6.0045 b=6.0045 c=14.3455 alpha=90.00 beta=90.00 gamma=90.00
Space group I4/mmm (No. 139)
Asymmetric unit:
Tb 0.0000 0.0000 0.0000 x2
Ho 0.0000 0.0000 0.5000 x2
Th 0.0000 0.0000 0.2501 x4
Th 0.0000 0.5000 0.1282 x8

Calculated values
calculated formation energy	0.13	eV per atom
V	517.2	Å³ per cell
energy above the most stable polymorph in this dataset	70	meV/atom